Entry one
A plane-wave DFT calculation with PBE was carried out for a geometry-optimized YP2HCl structure.

abc: 4.5656 4.5656 5.1440
angles: 90.00 90.00 90.00
Closest atoms and distances in Å follow each position.
Space group P4/mmm (No. 123)
Asymmetric unit:
Y 0.0000 0.0000 0.0000 x1  2 Cl 2.57
P 0.0000 0.5000 0.5000 x2  2 Cl 2.28
H 0.5000 0.5000 0.0000 x1  4 Y 3.23, 8 P 3.44
Cl 0.0000 0.0000 0.5000 x1  4 P 2.28

Results
* N(E_F): 2.1 states/eV per cell
* total moment: 0.0 μB/f.u.



Entry two
A plane-wave DFT calculation with PBE was carried out for a geometry-optimized YP2HCl structure.

abc: 5.5191 5.5191 5.3489
angles: 90.00 90.00 90.00
Closest atoms and distances in Å follow each position.
Space group P4/mmm (No. 123)
Asymmetric unit:
Y 0.0000 0.0000 0.0000 x1  2 Cl 2.67, 4 P 2.76
P 0.0000 0.5000 0.0000 x2  2 Y 2.76
H 0.5000 0.5000 0.5000 x1  8 P 3.84, 4 Cl 3.90
Cl 0.0000 0.0000 0.5000 x1  2 Y 2.67

Results
* N(E_F): 1.8 states/eV per cell
* total moment: 3.1 μB/f.u.



Entry three
A plane-wave DFT calculation with PBE was carried out for a geometry-optimized YP2HCl structure.

abc: 3.8410 3.8410 5.2845
angles: 90.00 90.00 90.00
Closest atoms and distances in Å follow each position.
Space group P4/mmm (No. 123)
Asymmetric unit:
Y 0.0000 0.0000 0.0000 x1  4 Cl 2.72
P 0.0000 0.5000 0.5000 x2  2 H 1.92
H 0.5000 0.5000 0.5000 x1  4 P 1.92
Cl 0.5000 0.5000 0.0000 x1  2 H 2.64, 4 Y 2.72

Results
* N(E_F): 0.6 states/eV per cell
* total moment: 0.0 μB/f.u.



Energy relative to the most stable one, in meV/atom: entry one 1253; entry two 884; entry three 0



Entry one
A plane-wave DFT calculation with PBE was carried out for a geometry-optimized YPHCl2 structure.

abc: 4.8095 4.8095 3.6110
angles: 90.00 90.00 90.00
Closest atoms and distances in Å follow each position.
Space group P4/mmm (No. 123)
Asymmetric unit:
Y 0.0000 0.0000 0.0000 x1  8 Cl 3.01
P 0.5000 0.5000 0.0000 x1  2 H 1.81
H 0.5000 0.5000 0.5000 x1  2 P 1.81
Cl 0.0000 0.5000 0.5000 x2  2 H 2.40

Results
* N(E_F): 3.8 states/eV per cell
* total moment: 0.0 μB/f.u.



Entry two
A plane-wave DFT calculation with PBE was carried out for a geometry-optimized YPHCl2 structure.

abc: 5.3258 5.3258 5.7185
angles: 90.00 90.00 90.00
Closest atoms and distances in Å follow each position.
Space group P4/mmm (No. 123)
Asymmetric unit:
Y 0.0000 0.0000 0.0000 x1  4 Cl 2.66, 2 P 2.86
P 0.0000 0.0000 0.5000 x1  2 Y 2.86
H 0.5000 0.5000 0.5000 x1  4 P 3.77, 8 Cl 3.91
Cl 0.0000 0.5000 0.0000 x2  2 Y 2.66

Results
* N(E_F): 0.1 states/eV per cell
* total moment: 3.0 μB/f.u.



Energy relative to the most stable one, in meV/atom: entry one 59; entry two 0